1.
# USi3Pd3

Crystalline USi3Pd3 at its relaxed geometry (PBE, Alexandria).

Properties
ΔE to the lowest computed polymorph, kJ/mol of atoms: 22.4
Total moment, μB/atom: 0.441
Space group: Pm-3n, No. 223

Unit cell a=6.5587 b=6.5587 c=6.5587 alpha=90.00 beta=90.00 gamma=90.00
Atoms (fractional coordinates):
1 Si 0.0000 0.2500 0.5000
2 Si 0.0000 0.7500 0.5000
3 Si 0.5000 0.0000 0.7500
4 Si 0.7500 0.5000 0.0000
5 Si 0.5000 0.0000 0.2500
6 Si 0.2500 0.5000 0.0000
7 U 0.5000 0.5000 0.5000
8 U 0.0000 0.0000 0.0000
9 Pd 0.2500 0.0000 0.5000
10 Pd 0.0000 0.5000 0.2500
11 Pd 0.5000 0.7500 0.0000
12 Pd 0.7500 0.0000 0.5000
13 Pd 0.0000 0.5000 0.7500
14 Pd 0.5000 0.2500 0.0000

=====

2.
# KSeNF2

Crystalline KSeNF2 at its relaxed geometry (PBE, Alexandria).

Properties
ΔE to the lowest computed polymorph, kJ/mol of atoms: 125.6
Total moment, μB/atom: 1.201
Space group: P4/mmm, No. 123

Unit cell a=5.0446 b=5.0446 c=5.1655 alpha=90.00 beta=90.00 gamma=90.00
Atoms (fractional coordinates):
1 K 0.0000 0.0000 0.0000
2 N 0.0000 0.0000 0.5000
3 Se 0.5000 0.5000 0.5000
4 F 0.0000 0.5000 0.0000
5 F 0.5000 0.0000 0.0000